A plane-wave DFT calculation with GGA-PBE was carried out for an optimized crystal structure of PaCr2Si3.

E_form (uncorrected)	-0.34	eV per atom
size of the total moment	0.000	μB per formula unit
symmetry	Cmcm (63)
V	183	Å³/cell
DFT total energy	-7.84	eV/atom

Cell lengths 5.195, 6.013, 6.013 Å; angles 103.25, 90.00, 90.00 degrees
Positions (direct):
Cr1 0.500 0.793 0.207
Cr2 0.500 0.207 0.793
Cr3 0.000 0.793 0.207
Cr4 0.000 0.207 0.793
Si1 0.750 0.459 0.110
Si2 0.750 0.110 0.459
Si3 0.250 0.944 0.944
Si4 0.250 0.890 0.541
Si5 0.250 0.541 0.890
Si6 0.750 0.056 0.056
Pa1 0.750 0.660 0.660
Pa2 0.250 0.340 0.340